A plane-wave DFT calculation with GGA+U was carried out for an optimized crystal structure of Mn2InBiO6.

Properties
Energy = -6.57 eV/atom

a b c (Å): 5.4890 5.4889 5.7200
angles (deg): 61.32 61.33 60.00
Fractional positions:
O: 0.8375 0.6713 0.2439
O: 0.2474 0.8374 0.2440
O: 0.3964 0.7251 0.7299
O: 0.7251 0.1486 0.7299
O: 0.6711 0.2475 0.2441
O: 0.1485 0.3963 0.7300
In: 0.8063 0.8063 0.5811
Mn: 0.5137 0.5137 0.4590
Mn: 0.0197 0.0197 0.9409
Bi: 0.2958 0.2958 0.1125